(1)
The following is a PBE calculation of a geometry-optimized BaCuSb2O8 structure, from Alexandria via LeMat-Bulk.

abc: 5.310 5.238 6.424
angles: 89.99 90.00 78.75
Fractional coordinates of all 12 atoms:
1 O 0.369 0.300 0.000
2 O 0.161 0.750 0.197
3 O 0.618 0.685 0.500
4 O 0.382 0.315 0.500
5 O 0.839 0.250 0.803
6 O 0.161 0.750 0.803
7 O 0.839 0.250 0.197
8 O 0.631 0.700 0.000
9 Sb 0.500 0.500 0.763
10 Sb 0.500 0.500 0.237
11 Ba 0.000 0.000 0.500
12 Cu 0.000 0.000 0.000

Properties
The calculation puts the uncorrected formation energy at -1.116 eV per atom. As for the crystal system: monoclinic. The space-group type is P2/m, No. 10.



(2)
The following is a PBE calculation of a geometry-optimized Er4Tl3 structure, from Alexandria via LeMat-Bulk.

abc: 8.024 8.024 8.024
angles: 109.47 109.47 109.47
Fractional coordinates of all 14 atoms:
1 Tl 0.375 0.125 0.750
2 Tl 0.875 0.250 0.625
3 Tl 0.750 0.625 0.375
4 Tl 0.250 0.875 0.125
5 Tl 0.125 0.375 0.250
6 Tl 0.625 0.750 0.875
7 Er 0.500 0.853 0.500
8 Er 0.500 0.353 0.500
9 Er 0.147 0.647 0.647
10 Er 0.853 0.500 0.000
11 Er 0.353 0.500 0.000
12 Er 0.647 0.147 0.147
13 Er 0.000 0.000 0.353
14 Er 0.000 0.000 0.853

Properties
As for the formation energy: -226 meV per atom. As for the crystal system: cubic. The space-group type is I-43d, No. 220.



(3)
The following is a PBE calculation of a geometry-optimized PrCN2 structure, from Alexandria via LeMat-Bulk.

abc: 5.357 7.007 7.008
angles: 113.30 90.00 90.00
Fractional coordinates of all 16 atoms:
1 Pr 0.250 0.702 0.548
2 Pr 0.750 0.298 0.452
3 Pr 0.250 0.202 0.048
4 Pr 0.750 0.798 0.952
5 N 0.750 0.198 0.052
6 N 0.250 0.089 0.661
7 N 0.250 0.802 0.948
8 N 0.750 0.411 0.839
9 N 0.750 0.698 0.552
10 N 0.250 0.589 0.161
11 N 0.750 0.911 0.339
12 N 0.250 0.302 0.448
13 C 0.250 0.694 0.056
14 C 0.250 0.194 0.556
15 C 0.750 0.306 0.944
16 C 0.750 0.806 0.444

Properties
The calculation puts the uncorrected formation energy at -0.604 eV per atom. As for the crystal system: orthorhombic. The space-group type is Pmmn, No. 59.



| no. | DOS at the Fermi energy (states/eV per cell) |
| --- | --- |
| 1 | 3.98 |
| 2 | 19.91 |
| 3 | 3.79 |